Entry from Alexandria via LeMat-Bulk: an optimized crystal structure of CaFe2Ir (GGA-PBE).

Summary:
N(E_F) ... 4.08 states/eV/cell
E ... -6.67 eV/atom

Unit cell a=5.5419 b=5.5419 c=5.5419 alpha=148.90 beta=129.89 gamma=60.16
Element x y z (fractional)
Ca  0.0000  0.0000  0.0000
Fe  0.2791  0.7791  0.5000
Fe  0.7209  0.2209  0.5000
Ir  0.5000  0.5000  0.0000